This record from Alexandria via LeMat-Bulk describes a relaxed structure of CsNaZnAg2. The functional is PBE-GGA.

Electronic total energy ... -0.124 Ry/atom
Energy of formation ... 0.14 eV per atom
Symmetry ... P4/mmm (123)

a b c (Å): 5.2763 5.2763 5.5463
angles (deg): 90.00 90.00 90.00
Positions (direct):
Cs: 0.0000 0.0000 0.0000
Na: 0.5000 0.5000 0.0000
Zn: 0.5000 0.5000 0.5000
Ag: 0.0000 0.5000 0.5000
Ag: 0.5000 0.0000 0.5000